# 1
VASP calculation (GGA-PBEsol) on an optimized crystal structure of KTa3Cu.

volume = 18.26 Å³/atom
energy = -5.577 eV per atom
symmetry = Pm-3m (221)

Lattice parameters (Å, degrees): 4.5025 4.5025 4.5025 90.00 90.00 90.00
Positions (direct):
K 0.0000 0.0000 0.0000
Ta 0.0000 0.0000 0.5000
Ta 0.0000 0.5000 0.0000
Ta 0.5000 0.0000 0.0000
Cu 0.5000 0.5000 0.5000

=====

# 2
VASP calculation (GGA-PBEsol) on an optimized crystal structure of MnCo6Mo.

volume = 10.64 Å³/atom
energy = -8.486 eV per atom
symmetry = Cmmm (65)

Lattice parameters (Å, degrees): 6.0478 6.0478 9.8807 90.00 90.00 109.59
Positions (direct):
Mn 0.0000 0.0000 0.2461
Mn 0.0000 0.0000 0.7539
Mn 0.2547 0.7453 0.0000
Mn 0.7453 0.2547 0.0000
Co 0.0000 0.0000 0.0000
Co 0.0000 0.0000 0.5000
Co 0.1209 0.3725 0.1230
Co 0.1209 0.3725 0.8770
Co 0.1226 0.3708 0.3733
Co 0.1226 0.3708 0.6267
Co 0.2482 0.7518 0.2466
Co 0.2482 0.7518 0.7534
Co 0.3708 0.1226 0.3733
Co 0.3708 0.1226 0.6267
Co 0.3725 0.1209 0.1230
Co 0.3725 0.1209 0.8770
Co 0.5000 0.5000 0.0000
Co 0.5000 0.5000 0.5000
Co 0.6275 0.8791 0.1230
Co 0.6275 0.8791 0.8770
Co 0.6292 0.8774 0.3733
Co 0.6292 0.8774 0.6267
Co 0.7518 0.2482 0.2466
Co 0.7518 0.2482 0.7534
Co 0.8774 0.6292 0.3733
Co 0.8774 0.6292 0.6267
Co 0.8791 0.6275 0.1230
Co 0.8791 0.6275 0.8770
Mo 0.2533 0.7467 0.5000
Mo 0.5000 0.5000 0.2478
Mo 0.5000 0.5000 0.7522
Mo 0.7467 0.2533 0.5000

=====

# 3
VASP calculation (GGA-PBEsol) on an optimized crystal structure of MgZr2Mo.

volume = 20.15 Å³/atom
energy relative to the lowest polymorph listed for this composition = 0 meV/atom
symmetry = Cmmm (65)

Lattice parameters (Å, degrees): 3.0000 3.0000 9.5711 90.00 90.00 110.62
Positions (direct):
Mg 0.0000 0.0000 0.0000
Zr 0.5000 0.5000 0.2803
Zr 0.5000 0.5000 0.7197
Mo 0.0000 0.0000 0.5000